(1)
A relaxed SnPdNO crystal. Source: the Alexandria database, functional PBE.

Lattice parameters (Å, degrees): 3.625 3.625 16.032 90.00 90.00 120.00
Fractional coordinates of all 12 atoms:
Pd (0.000, 0.000, 0.755)
Pd (0.667, 0.333, 0.088)
Pd (0.333, 0.667, 0.422)
N (0.333, 0.667, 0.555)
N (0.667, 0.333, 0.222)
N (0.000, 0.000, 0.888)
O (0.333, 0.667, 0.103)
O (0.667, 0.333, 0.770)
O (0.000, 0.000, 0.436)
Sn (0.667, 0.333, 0.924)
Sn (0.333, 0.667, 0.257)
Sn (0.000, 0.000, 0.591)

ΔE to the lowest computed polymorph = 0.312 eV/atom



(2)
A relaxed SnPdNO crystal. Source: the Alexandria database, functional PBE.

Lattice parameters (Å, degrees): 3.250 3.250 18.826 90.00 90.00 120.00
Fractional coordinates of all 12 atoms:
Pd (0.333, 0.667, 0.871)
Pd (0.000, 0.000, 0.204)
Pd (0.667, 0.333, 0.538)
O (0.667, 0.333, 0.649)
O (0.000, 0.000, 0.315)
O (0.333, 0.667, 0.982)
N (0.333, 0.667, 0.764)
N (0.667, 0.333, 0.431)
N (0.000, 0.000, 0.097)
Sn (0.333, 0.667, 0.379)
Sn (0.000, 0.000, 0.713)
Sn (0.667, 0.333, 0.046)

ΔE to the lowest computed polymorph = 0.000 eV/atom



(3)
A relaxed SnPdNO crystal. Source: the Alexandria database, functional PBE.

Lattice parameters (Å, degrees): 3.188 3.409 5.820 88.69 73.98 62.16
Fractional coordinates of all 4 atoms:
N (0.913, 0.249, 0.331)
Pd (0.234, 0.332, 0.606)
Sn (0.724, 0.824, 0.134)
O (0.541, 0.410, 0.917)

ΔE to the lowest computed polymorph = 0.226 eV/atom



(4)
A relaxed SnPdNO crystal. Source: the Alexandria database, functional PBE.

Lattice parameters (Å, degrees): 3.375 3.375 4.501 90.00 90.00 90.00
Fractional coordinates of all 4 atoms:
O (0.000, 0.000, 0.500)
Sn (0.000, 0.000, 0.000)
Pd (0.500, 0.500, 0.500)
N (0.500, 0.500, 0.000)

ΔE to the lowest computed polymorph = 0.369 eV/atom



(5)
A relaxed SnPdNO crystal. Source: the Alexandria database, functional PBE.

Lattice parameters (Å, degrees): 4.038 4.111 9.063 90.00 116.33 90.00
Fractional coordinates of all 8 atoms:
O (0.759, 0.000, 0.311)
O (0.759, 0.500, 0.811)
Sn (0.148, 0.000, 0.200)
Sn (0.148, 0.500, 0.700)
Pd (0.820, 0.000, 0.873)
Pd (0.820, 0.500, 0.373)
N (0.261, 0.500, 0.313)
N (0.261, 0.000, 0.813)

ΔE to the lowest computed polymorph = 0.218 eV/atom



(6)
A relaxed SrPdNO2 crystal. Source: the Alexandria database, functional PBE.

Lattice parameters (Å, degrees): 4.482 4.482 4.757 90.00 90.00 90.00
Fractional coordinates of all 5 atoms:
N (0.000, 0.000, 0.500)
Pd (0.500, 0.500, 0.500)
O (0.500, 0.000, 0.000)
O (0.000, 0.500, 0.000)
Sr (0.000, 0.000, 0.000)



(7)
A relaxed SrPdNO2 crystal. Source: the Alexandria database, functional PBE.

Lattice parameters (Å, degrees): 4.270 4.270 3.722 90.00 90.00 90.00
Fractional coordinates of all 5 atoms:
Sr (0.500, 0.500, 0.500)
O (0.000, 0.500, 0.000)
O (0.500, 0.000, 0.000)
N (0.000, 0.000, 0.500)
Pd (0.000, 0.000, 0.000)



(8)
A relaxed TaPdN2O crystal. Source: the Alexandria database, functional PBE.

Lattice parameters (Å, degrees): 4.120 4.120 3.887 90.00 90.00 90.00
Fractional coordinates of all 5 atoms:
N (0.000, 0.500, 0.000)
N (0.500, 0.000, 0.000)
Ta (0.000, 0.000, 0.000)
O (0.000, 0.000, 0.500)
Pd (0.500, 0.500, 0.500)



What uncorrected formation energy values result from the calculations? In sequence: 0.045 -0.267 -0.041 0.103 -0.049 1.126 -0.593 -0.047 eV/atom.